Here is an optimized crystal structure of TaBeTlFe from OQMD via LeMat-Bulk. Energies are from PBE.

SG: F-43m
DFT total energy (eV per cell): -24.6
Crystal system: cubic

Cell lengths 4.3467, 4.3467, 4.3467 Å; angles 60.00, 60.00, 60.00 degrees
With the nearest neighbours (Å) after each atom.
Fractional coordinates of all 4 atoms:
Be  0.2500  0.2500  0.2500  4 Tl 2.66, 4 Ta 2.66
Fe  0.7500  0.7500  0.7500  4 Tl 2.66, 4 Ta 2.66
Ta  0.5000  0.5000  0.5000  4 Be 2.66, 4 Fe 2.66
Tl  0.0000  0.0000  0.0000  4 Be 2.66, 4 Fe 2.66